Entry 1:
Entry from Alexandria via LeMat-Bulk: an optimized crystal structure of LiTcC3 (PBE).

Results
For the energy relative to the lowest polymorph listed for this composition, the calculation gives 1225 meV/atom. As for the space group: Pm-3m, No. 221. Its total magnetic moment is 0.000 μB/cell. The volume comes out at 8.8 Å³ per atom.

abc: 3.5360 3.5360 3.5360
angles: 90.00 90.00 90.00
With the nearest neighbours (Å) after each atom.
Fractional positions:
C1 0.0000 0.5000 0.0000  2 Li 1.77
C2 0.0000 0.0000 0.5000  2 Li 1.77
C3 0.5000 0.0000 0.0000  2 Li 1.77
Tc1 0.5000 0.5000 0.5000  12 C 2.50
Li1 0.0000 0.0000 0.0000  6 C 1.77



Entry 2:
Entry from Alexandria via LeMat-Bulk: an optimized crystal structure of BaPbCl3 (PBE).

Results
For the energy relative to the lowest polymorph listed for this composition, the calculation gives 0 meV/atom. The calculation puts the uncorrected formation energy at -1.31 eV per atom. As for the space group: Pm-3m, No. 221. Its total magnetic moment is 1.000 μB/cell. The volume comes out at 42.4 Å³ per atom.

abc: 5.9608 5.9608 5.9608
angles: 90.00 90.00 90.00
With the nearest neighbours (Å) after each atom.
Fractional positions:
Pb1 0.5000 0.5000 0.5000  12 Cl 4.21
Ba1 0.0000 0.0000 0.0000  6 Cl 2.98
Cl1 0.0000 0.5000 0.0000  2 Ba 2.98
Cl2 0.0000 0.0000 0.5000  2 Ba 2.98
Cl3 0.5000 0.0000 0.0000  2 Ba 2.98



Entry 3:
Entry from Alexandria via LeMat-Bulk: an optimized crystal structure of Dy3ZrTl3Se8 (PBE).

Results
The calculation puts the uncorrected formation energy at -1.38 eV per atom. As for the space group: R-3m, No. 166. Its total magnetic moment is 0.000 μB/cell. The volume comes out at 30.5 Å³ per atom.

abc: 8.1956 8.1952 9.1779
angles: 116.54 90.00 120.00
With the nearest neighbours (Å) after each atom.
Fractional positions:
Dy1 0.5000 0.0000 0.5000  6 Se 2.86-2.88
Dy2 0.5000 0.5000 0.5000  6 Se 2.86-2.88
Dy3 0.0000 0.5000 0.5000  6 Se 2.86-2.88
Zr1 0.0000 0.0000 0.5000  6 Se 2.75
Tl1 0.0000 0.0000 0.0000  6 Se 3.31
Tl2 0.0000 0.5000 0.0000  6 Se 3.31
Tl3 0.5000 0.5000 0.0000  6 Se 3.31
Se1 0.2649 0.5299 0.2951  3 Dy 2.86
Se2 0.7351 0.4701 0.7049  3 Dy 2.86
Se3 0.7742 0.5484 0.3013  1 Zr 2.75, 2 Dy 2.88
Se4 0.2258 0.4516 0.6987  1 Zr 2.75, 2 Dy 2.88
Se5 0.7742 0.0268 0.3013  1 Zr 2.75, 2 Dy 2.88
Se6 0.2258 0.9732 0.6987  1 Zr 2.75, 2 Dy 2.88
Se7 0.2526 0.0268 0.3013  1 Zr 2.75, 2 Dy 2.88
Se8 0.7474 0.9732 0.6987  1 Zr 2.75, 2 Dy 2.88



Entry 4:
Entry from Alexandria via LeMat-Bulk: an optimized crystal structure of Pm4Pr3Tl2 (PBE).

Results
As for the space group: C2/c, No. 15. For the total DFT energy (no corrections), the calculation gives -4.3100 eV per atom. Its total magnetic moment is 0.000 μB/cell. The volume comes out at 32.7 Å³ per atom.

abc: 9.7098 7.8224 7.8224
angles: 95.81 86.92 86.92
With the nearest neighbours (Å) after each atom.
Fractional positions:
Pm1 0.4204 0.8941 0.1788  2 Tl 3.30-3.33, 2 Pm 3.45-3.65, 3 Pr 3.60-3.62
Pm2 0.0796 0.8212 0.1059  2 Tl 3.30-3.33, 2 Pm 3.45-3.65, 3 Pr 3.60-3.62
Pm3 0.5796 0.1059 0.8212  2 Tl 3.30-3.33, 2 Pm 3.45-3.65, 3 Pr 3.60-3.62
Pm4 0.9204 0.1788 0.8941  2 Tl 3.30-3.33, 2 Pm 3.45-3.65, 3 Pr 3.60-3.62
Pm5 0.0935 0.1788 0.4411  3 Pr 3.36-3.60, 3 Tl 3.36-3.53, 2 Pm 3.59-3.65
Pm6 0.4065 0.5589 0.8212  3 Pr 3.36-3.60, 3 Tl 3.36-3.53, 2 Pm 3.59-3.65
Pm7 0.9065 0.8212 0.5589  3 Pr 3.36-3.60, 3 Tl 3.36-3.53, 2 Pm 3.59-3.65
Pm8 0.5935 0.4411 0.1788  3 Pr 3.36-3.60, 3 Tl 3.36-3.53, 2 Pm 3.59-3.65
Pr1 0.7497 0.0561 0.2803  5 Pm 3.36-3.73, 2 Pr 3.50-3.53, 2 Tl 3.50-3.54
Pr2 0.7503 0.7197 0.9439  5 Pm 3.36-3.73, 2 Pr 3.50-3.53, 2 Tl 3.50-3.54
Pr3 0.2503 0.9439 0.7197  5 Pm 3.36-3.73, 2 Pr 3.50-3.53, 2 Tl 3.50-3.54
Pr4 0.2497 0.2803 0.0561  5 Pm 3.36-3.73, 2 Pr 3.50-3.53, 2 Tl 3.50-3.54
Pr5 0.2500 0.5838 0.4162  4 Tl 3.33-3.59, 2 Pr 3.50, 4 Pm 3.60-3.62
Pr6 0.7500 0.4162 0.5838  4 Tl 3.33-3.59, 2 Pr 3.50, 4 Pm 3.60-3.62
Tl1 0.4333 0.2261 0.4781  5 Pm 3.30-3.53, 4 Pr 3.33-3.59
Tl2 0.0667 0.5219 0.7739  5 Pm 3.30-3.53, 4 Pr 3.33-3.59
Tl3 0.5667 0.7739 0.5219  5 Pm 3.30-3.53, 4 Pr 3.33-3.59
Tl4 0.9333 0.4781 0.2261  5 Pm 3.30-3.53, 4 Pr 3.33-3.59



Entry 5:
Entry from Alexandria via LeMat-Bulk: an optimized crystal structure of Ba12Rh5Cl3 (PBE).

Results
The calculation puts the uncorrected formation energy at -0.48 eV per atom. As for the space group: Ia-3d, No. 230. Its total magnetic moment is 0.001 μB/cell. The volume comes out at 42.8 Å³ per atom.

abc: 16.4427 16.4427 16.4427
angles: 109.47 109.47 109.47
With the nearest neighbours (Å) after each atom.
Fractional positions:
Cl1 0.7500 0.3750 0.1250  8 Ba 3.67-3.74
Cl2 0.8750 0.7500 0.1250  8 Ba 3.67-3.74
Cl3 0.3750 0.7500 0.6250  8 Ba 3.67-3.74
Cl4 0.2500 0.1250 0.3750  8 Ba 3.67-3.74
Cl5 0.8750 0.1250 0.2500  8 Ba 3.67-3.74
Cl6 0.3750 0.6250 0.2500  8 Ba 3.67-3.74
Cl7 0.6250 0.3750 0.7500  8 Ba 3.67-3.74
Cl8 0.1250 0.8750 0.7500  8 Ba 3.67-3.74
Cl9 0.7500 0.8750 0.6250  8 Ba 3.67-3.74
Cl10 0.6250 0.2500 0.3750  8 Ba 3.67-3.74
Cl11 0.1250 0.2500 0.8750  8 Ba 3.67-3.74
Cl12 0.2500 0.6250 0.8750  8 Ba 3.67-3.74
Rh1 0.1250 0.3750 0.2500  4 Ba 2.85
Rh2 0.0000 0.5000 0.0000  6 Ba 3.08
Rh3 0.0000 0.0000 0.0000  6 Ba 3.08
Rh4 0.3750 0.2500 0.1250  4 Ba 2.85
Rh5 0.5000 0.0000 0.5000  6 Ba 3.08
Rh6 0.5000 0.5000 0.0000  6 Ba 3.08
Rh7 0.1250 0.7500 0.3750  4 Ba 2.85
Rh8 0.7500 0.1250 0.8750  4 Ba 2.85
Rh9 0.7500 0.6250 0.3750  4 Ba 2.85
Rh10 0.3750 0.1250 0.7500  4 Ba 2.85
Rh11 0.6250 0.8750 0.2500  4 Ba 2.85
Rh12 0.5000 0.5000 0.5000  6 Ba 3.08
Rh13 0.5000 0.0000 0.0000  6 Ba 3.08
Rh14 0.0000 0.0000 0.5000  6 Ba 3.08
Rh15 0.2500 0.3750 0.6250  4 Ba 2.85
Rh16 0.2500 0.8750 0.1250  4 Ba 2.85
Rh17 0.0000 0.5000 0.5000  6 Ba 3.08
Rh18 0.8750 0.2500 0.6250  4 Ba 2.85
Rh19 0.6250 0.7500 0.8750  4 Ba 2.85
Rh20 0.8750 0.6250 0.7500  4 Ba 2.85
Ba1 0.7061 0.1196 0.0273  2 Rh 2.85-3.08
Ba2 0.3211 0.5273 0.4077  2 Rh 2.85-3.08
Ba3 0.9727 0.3804 0.2939  2 Rh 2.85-3.08
Ba4 0.5273 0.2061 0.1196  2 Rh 2.85-3.08
Ba5 0.5866 0.7061 0.6789  2 Rh 2.85-3.08
Ba6 0.9727 0.5923 0.1789  2 Rh 2.85-3.08
Ba7 0.3211 0.7939 0.4134  2 Rh 2.85-3.08
Ba8 0.0923 0.9134 0.1196  2 Rh 2.85-3.08
Ba9 0.5923 0.9727 0.6789  2 Rh 2.85-3.08
Ba10 0.7061 0.5866 0.1789  2 Rh 2.85-3.08
Ba11 0.7939 0.4727 0.3804  2 Rh 2.85-3.08
Ba12 0.8211 0.9077 0.0273  2 Rh 2.85-3.08
Ba13 0.1196 0.7061 0.5273  2 Rh 2.85-3.08
Ba14 0.3804 0.4077 0.0866  2 Rh 2.85-3.08
Ba15 0.0866 0.9077 0.3804  2 Rh 2.85-3.08
Ba16 0.4134 0.1196 0.5923  2 Rh 2.85-3.08
Ba17 0.0866 0.1789 0.2061  2 Rh 2.85-3.08
Ba18 0.4727 0.6789 0.0923  2 Rh 2.85-3.08
Ba19 0.8211 0.9134 0.2939  2 Rh 2.85-3.08
Ba20 0.1196 0.4134 0.0923  2 Rh 2.85-3.08
Ba21 0.3804 0.9727 0.7939  2 Rh 2.85-3.08
Ba22 0.5923 0.6196 0.4134  2 Rh 2.85-3.08
Ba23 0.9077 0.8211 0.5273  2 Rh 2.85-3.08
Ba24 0.7939 0.3211 0.9134  2 Rh 2.85-3.08
Ba25 0.4077 0.3804 0.5866  2 Rh 2.85-3.08
Ba26 0.0923 0.1789 0.4727  2 Rh 2.85-3.08
Ba27 0.2061 0.6789 0.0866  2 Rh 2.85-3.08
Ba28 0.1789 0.0866 0.7061  2 Rh 2.85-3.08
Ba29 0.6196 0.0273 0.2061  2 Rh 2.85-3.08
Ba30 0.8804 0.5866 0.9077  2 Rh 2.85-3.08
Ba31 0.5273 0.3211 0.9077  2 Rh 2.85-3.08
Ba32 0.5866 0.8804 0.4077  2 Rh 2.85-3.08
Ba33 0.9134 0.8211 0.7939  2 Rh 2.85-3.08
Ba34 0.9134 0.0923 0.6196  2 Rh 2.85-3.08
Ba35 0.8804 0.2939 0.4727  2 Rh 2.85-3.08
Ba36 0.1789 0.0923 0.9727  2 Rh 2.85-3.08
Ba37 0.6196 0.5923 0.9134  2 Rh 2.85-3.08
Ba38 0.4077 0.0273 0.3211  2 Rh 2.85-3.08
Ba39 0.2939 0.4134 0.8211  2 Rh 2.85-3.08
Ba40 0.2061 0.5273 0.6196  2 Rh 2.85-3.08
Ba41 0.9077 0.0866 0.8804  2 Rh 2.85-3.08
Ba42 0.6789 0.2061 0.5866  2 Rh 2.85-3.08
Ba43 0.4727 0.7939 0.8804  2 Rh 2.85-3.08
Ba44 0.0273 0.4077 0.8211  2 Rh 2.85-3.08
Ba45 0.4134 0.2939 0.3211  2 Rh 2.85-3.08
Ba46 0.0273 0.6196 0.7061  2 Rh 2.85-3.08
Ba47 0.6789 0.4727 0.5923  2 Rh 2.85-3.08
Ba48 0.2939 0.8804 0.9727  2 Rh 2.85-3.08



Entry 6:
Entry from Alexandria via LeMat-Bulk: an optimized crystal structure of La3Tb4Se8 (PBE).

Results
The calculation puts the uncorrected formation energy at -1.90 eV per atom. As for the space group: C2/m, No. 12. Its total magnetic moment is 0.000 μB/cell. The volume comes out at 27.8 Å³ per atom.

abc: 8.3304 8.3813 8.3813
angles: 90.05 119.75 119.75
With the nearest neighbours (Å) after each atom.
Fractional positions:
La1 0.5000 0.5000 0.0000  6 Se 2.96-2.97
La2 0.5000 0.0000 0.5000  6 Se 2.96-2.97
La3 0.5000 0.5000 0.5000  6 Se 3.03
Tb1 0.5000 0.0000 0.0000  6 Se 2.89-2.90
Tb2 0.0000 0.5000 0.0000  6 Se 2.96-2.97
Tb3 0.0000 0.0000 0.0000  6 Se 2.92-2.95
Tb4 0.0000 0.0000 0.5000  6 Se 2.96-2.97
Se1 0.4926 0.2406 0.2406  2 Tb 2.89-2.92, 3 La 2.97-3.03
Se2 0.0000 0.7525 0.2475  3 Tb 2.93-2.96, 2 La 2.97
Se3 0.9896 0.2435 0.2435  4 Tb 2.90-2.97, 1 La 3.03
Se4 0.5000 0.7554 0.2446  3 Tb 2.90-2.97, 3 La 2.96-3.03
Se5 0.5000 0.2446 0.7554  3 Tb 2.90-2.97, 3 La 2.96-3.03
Se6 0.0104 0.7565 0.7565  4 Tb 2.90-2.97, 1 La 3.03
Se7 0.0000 0.2475 0.7525  3 Tb 2.93-2.96, 2 La 2.97
Se8 0.5074 0.7594 0.7594  2 Tb 2.89-2.92, 3 La 2.97-3.03



Entry 7:
Entry from Alexandria via LeMat-Bulk: an optimized crystal structure of W3C5 (PBE).

Results
For the energy relative to the lowest polymorph listed for this composition, the calculation gives 362 meV/atom. As for the space group: P4/mmm, No. 123. Its total magnetic moment is 0.000 μB/cell. The volume comes out at 9.5 Å³ per atom.

abc: 2.8313 2.8313 9.4364
angles: 90.00 90.00 90.00
With the nearest neighbours (Å) after each atom.
Fractional positions:
W1 0.0000 0.0000 0.5000  10 C 2.26-2.35
W2 0.5000 0.5000 0.1536  5 C 2.20-2.22
W3 0.5000 0.5000 0.8464  5 C 2.20-2.22
C1 0.0000 0.0000 0.0000  2 C 2.37, 8 W 2.47
C2 0.0000 0.0000 0.2507  5 W 2.20-2.35, 5 C 2.37-2.39
C3 0.0000 0.0000 0.7493  5 W 2.20-2.35, 5 C 2.37-2.39
C4 0.5000 0.5000 0.3884  1 C 2.11, 5 W 2.22-2.26
C5 0.5000 0.5000 0.6116  1 C 2.11, 5 W 2.22-2.26



Entry 8:
Entry from Alexandria via LeMat-Bulk: an optimized crystal structure of LaCF3 (PBE).

Results
For the energy relative to the lowest polymorph listed for this composition, the calculation gives 758 meV/atom. The calculation puts the uncorrected formation energy at -0.95 eV per atom. As for the space group: Pm-3m, No. 221. Its total magnetic moment is 1.748 μB/cell. The volume comes out at 13.9 Å³ per atom.

abc: 4.1141 4.1141 4.1141
angles: 90.00 90.00 90.00
With the nearest neighbours (Å) after each atom.
Fractional positions:
C1 0.0000 0.0000 0.0000  6 F 2.06
F1 0.0000 0.5000 0.0000  2 C 2.06
F2 0.0000 0.0000 0.5000  2 C 2.06
F3 0.5000 0.0000 0.0000  2 C 2.06
La1 0.5000 0.5000 0.5000  12 F 2.91